DFT (PBE-GGA) results for an optimized crystal structure of RbYC.

Cell lengths 4.0730, 4.0730, 6.4779 Å; angles 90.00, 90.00, 120.00 degrees
Last column: nearest neighbours and their distance in Å.
Space group P-6m2 (No. 187)
One atom of each set of equivalent atoms:
Rb1 0.0000 0.0000 0.0000  6 C 4.00, 6 Y 4.00, 6 Rb 4.07
Y1 0.3333 0.6667 0.5000  3 C 2.35
C1 0.6667 0.3333 0.5000  3 Y 2.35

Properties
Its calculated volume is 93 Å³/cell. The calculation puts the offset from the most stable computed form at 0.6078 eV per atom.

---

DFT (PBE-GGA) results for an optimized crystal structure of RbYC.

Cell lengths 7.3997, 3.9776, 14.4507 Å; angles 90.00, 90.00, 90.00 degrees
Last column: nearest neighbours and their distance in Å.
Space group Pnma (No. 62)
One atom of each set of equivalent atoms:
Rb1 0.0805 0.2500 0.1121  3 C 3.28-3.31
Y1 0.0755 0.7500 0.4155  3 C 2.33-2.35
C1 0.1731 0.2500 0.4833  3 Y 2.33-2.35

Properties
Its calculated volume is 425 Å³/cell. The calculation puts the offset from the most stable computed form at 0.5445 eV per atom.

---

DFT (PBE-GGA) results for an optimized crystal structure of RbYC.

Cell lengths 8.6075, 4.2360, 8.9625 Å; angles 90.00, 90.00, 90.00 degrees
Last column: nearest neighbours and their distance in Å.
Space group Pnma (No. 62)
One atom of each set of equivalent atoms:
Rb1 0.0184 0.2500 0.1669  2 C 3.26, 3 Y 3.57-3.58
Y1 0.1387 0.2500 0.5480  3 C 2.34-2.40
C1 0.1313 0.7500 0.4218  3 Y 2.34-2.40

Properties
Its calculated volume is 327 Å³/cell. The calculation puts the offset from the most stable computed form at 0.6081 eV per atom.

---

DFT (PBE-GGA) results for an optimized crystal structure of RbYC.

Cell lengths 3.9161, 3.9161, 14.3482 Å; angles 90.00, 90.00, 120.00 degrees
Last column: nearest neighbours and their distance in Å.
Space group P6_3mc (No. 186)
One atom of each set of equivalent atoms:
Rb1 0.0000 0.0000 0.0000  3 C 3.24
Y1 0.3333 0.6667 0.2892  3 C 2.37
C1 0.3333 0.6667 0.8387  3 Y 2.37

Properties
Its calculated volume is 191 Å³/cell. The calculation puts the offset from the most stable computed form at 0.5425 eV per atom.

---

DFT (PBE-GGA) results for an optimized crystal structure of RbY2C.

Cell lengths 7.5944, 7.5944, 10.7641 Å; angles 90.00, 90.00, 90.00 degrees
Last column: nearest neighbours and their distance in Å.
Space group I-42d (No. 122)
One atom of each set of equivalent atoms:
Rb1 0.0000 0.0000 0.0000  12 Y 4.44-4.46, 4 Rb 4.65, 4 C 4.65
Y1 0.0016 0.2500 0.6250  2 C 2.33
C1 0.0000 0.0000 0.5000  4 Y 2.33

Properties
Its calculated volume is 621 Å³/cell.

---

DFT (PBE-GGA) results for an optimized crystal structure of RbYC.

Cell lengths 4.7359, 4.7359, 7.0014 Å; angles 90.00, 90.00, 90.00 degrees
Last column: nearest neighbours and their distance in Å.
Space group P4/nmm (No. 129, origin choice 2)
One atom of each set of equivalent atoms:
Rb1 0.2500 0.2500 0.0812  1 C 3.20, 4 Rb 3.54
Y1 0.2500 0.7500 0.5000  4 C 2.52
C1 0.2500 0.2500 0.6236  4 Y 2.52

Properties
Its calculated volume is 157 Å³/cell. The calculation puts the offset from the most stable computed form at 0.3894 eV per atom.

---

DFT (PBE-GGA) results for an optimized crystal structure of RbYC.

Cell lengths 6.5464, 6.5464, 6.5464 Å; angles 90.00, 90.00, 90.00 degrees
Last column: nearest neighbours and their distance in Å.
Space group F-43m (No. 216)
One atom of each set of equivalent atoms:
Rb1 0.0000 0.0000 0.0000  4 C 2.83
Y1 0.0000 0.0000 0.5000  4 C 2.83
C1 0.2500 0.2500 0.7500  4 Rb 2.83, 4 Y 2.83

Properties
Its calculated volume is 281 Å³/cell. The calculation puts the offset from the most stable computed form at 1.2164 eV per atom.

---

DFT (PBE-GGA) results for an optimized crystal structure of Rb3YC.

Cell lengths 7.4221, 7.4221, 7.4221 Å; angles 90.00, 90.00, 90.00 degrees
Last column: nearest neighbours and their distance in Å.
Space group Pm-3m (No. 221)
One atom of each set of equivalent atoms:
Rb1 0.0000 0.0000 0.5000  2 Y 3.71
Y1 0.0000 0.0000 0.0000  6 Rb 3.71
C1 0.5000 0.5000 0.5000  12 Rb 5.25

Properties
Its calculated volume is 409 Å³/cell. The calculation puts the offset from the most stable computed form at 0.7722 eV per atom.

---

DFT (PBE-GGA) results for an optimized crystal structure of RbYC.

Cell lengths 3.9682, 3.9682, 13.7699 Å; angles 90.00, 90.00, 120.00 degrees
Last column: nearest neighbours and their distance in Å.
Space group P-6m2 (No. 187)
One atom of each set of equivalent atoms:
Rb1 0.0000 0.0000 0.0000  6 C 3.50
Rb2 0.0000 0.0000 0.5000  6 Rb 3.97, 6 Y 4.35
Y1 0.6667 0.3333 0.2316  3 C 2.36
C1 0.3333 0.6667 0.1919  3 Y 2.36

Properties
Its calculated volume is 188 Å³/cell. The calculation puts the offset from the most stable computed form at 0.5730 eV per atom.

---

DFT (PBE-GGA) results for an optimized crystal structure of RbY2C.

Cell lengths 3.6719, 3.6719, 32.2810 Å; angles 90.00, 90.00, 120.00 degrees
Last column: nearest neighbours and their distance in Å.
Space group R-3m (No. 166, hexagonal axes)
One atom of each set of equivalent atoms:
Rb1 0.0000 0.0000 0.0000  6 Rb 3.67, 2 Y 4.05
Y1 0.0000 0.0000 0.1255  3 C 2.50
C1 0.0000 0.0000 0.5000  6 Y 2.50

Properties
Its calculated volume is 377 Å³/cell.

---

DFT (PBE-GGA) results for an optimized crystal structure of RbZnC2.

Cell lengths 6.3650, 6.3650, 6.3650 Å; angles 90.00, 90.00, 90.00 degrees
Last column: nearest neighbours and their distance in Å.
Space group Fm-3m (No. 225)
One atom of each set of equivalent atoms:
Rb1 0.0000 0.0000 0.0000  8 C 2.76
Zn1 0.0000 0.0000 0.5000  8 C 2.76
C1 0.2500 0.2500 0.2500  4 Rb 2.76, 4 Zn 2.76

Properties
Its calculated volume is 258 Å³/cell. The calculation puts the offset from the most stable computed form at 0.8790 eV per atom.

---

DFT (PBE-GGA) results for an optimized crystal structure of RbZnC2.

Cell lengths 4.5437, 4.5437, 13.6106 Å; angles 90.00, 90.00, 90.00 degrees
Last column: nearest neighbours and their distance in Å.
Space group I4_1/amd (No. 141, origin choice 2)
One atom of each set of equivalent atoms:
Rb1 0.0000 0.2500 0.3750  8 C 3.06, 4 Zn 3.21
Zn1 0.0000 0.2500 0.8750  4 C 2.05
C1 0.0000 0.0000 0.0000  2 Zn 2.05, 2 C 2.27

Properties
Its calculated volume is 281 Å³/cell. The calculation puts the offset from the most stable computed form at 0.0000 eV per atom.

---

DFT (PBE-GGA) results for an optimized crystal structure of Rb3ZrC.

Cell lengths 6.1028, 6.1028, 6.1028 Å; angles 90.00, 90.00, 90.00 degrees
Last column: nearest neighbours and their distance in Å.
Space group Pm-3m (No. 221)
One atom of each set of equivalent atoms:
Rb1 0.0000 0.0000 0.5000  2 C 3.05
Zr1 0.5000 0.5000 0.5000  12 Rb 4.32
C1 0.0000 0.0000 0.0000  6 Rb 3.05

Properties
Its calculated volume is 227 Å³/cell. The calculation puts the offset from the most stable computed form at 0.0000 eV per atom.

---

DFT (PBE-GGA) results for an optimized crystal structure of Re3C4.

Cell lengths 5.8493, 5.8493, 2.6653 Å; angles 90.00, 90.00, 120.00 degrees
Last column: nearest neighbours and their distance in Å.
Space group P6/mmm (No. 191)
One atom of each set of equivalent atoms:
Re1 0.0000 0.5000 0.0000  4 C 2.15
C1 0.0000 0.0000 0.2534  2 C 1.31-1.35
C2 0.3333 0.6667 0.5000  6 Re 2.15

Properties
Its calculated volume is 79 Å³/cell. The calculation puts the offset from the most stable computed form at 0.2582 eV per atom.

---

DFT (PBE-GGA) results for an optimized crystal structure of ReC3.

Cell lengths 4.3967, 4.3967, 4.4039 Å; angles 90.00, 90.00, 120.00 degrees
Last column: nearest neighbours and their distance in Å.
Space group P6_3/mmc (No. 194)
One atom of each set of equivalent atoms:
Re1 0.3333 0.6667 0.2500  12 C 2.23-2.37
C1 0.2169 0.4337 0.7500  2 C 1.54

Properties
Its calculated volume is 74 Å³/cell. The calculation puts the offset from the most stable computed form at 1.0635 eV per atom.

---

DFT (PBE-GGA) results for an optimized crystal structure of Re2C.

Cell lengths 10.0763, 2.9278, 7.0448 Å; angles 90.00, 132.47, 90.00 degrees
Last column: nearest neighbours and their distance in Å.
Space group C2/m (No. 12)
One atom of each set of equivalent atoms:
Re1 0.0996 0.0000 0.3201  2 C 2.06
Re2 0.2467 0.0000 0.8300  3 C 2.05-2.16
C1 0.0752 0.5000 0.7565  5 Re 2.05-2.16

Properties
Its calculated volume is 153 Å³/cell. The calculation puts the offset from the most stable computed form at 0.4266 eV per atom.

---

DFT (PBE-GGA) results for an optimized crystal structure of Re2C.

Cell lengths 2.8947, 2.8947, 14.5894 Å; angles 90.00, 90.00, 120.00 degrees
Last column: nearest neighbours and their distance in Å.
Space group R-3m (No. 166, hexagonal axes)
One atom of each set of equivalent atoms:
Re1 0.0000 0.0000 0.2399  3 C 2.16
C1 0.0000 0.0000 0.0000  6 Re 2.16

Properties
Its calculated volume is 106 Å³/cell. The calculation puts the offset from the most stable computed form at 0.2398 eV per atom.

---

DFT (PBE-GGA) results for an optimized crystal structure of ReC5.

Cell lengths 5.7731, 5.7731, 5.7731 Å; angles 90.00, 90.00, 90.00 degrees
Last column: nearest neighbours and their distance in Å.
Space group F-43m (No. 216)
One atom of each set of equivalent atoms:
Re1 0.0000 0.0000 0.0000  16 C 2.46-2.50
C1 0.0952 0.0952 0.4048  3 C 1.55
C2 0.2500 0.2500 0.7500  12 C 2.36, 4 Re 2.50

Properties
Its calculated volume is 192 Å³/cell. The calculation puts the offset from the most stable computed form at 2.1514 eV per atom.

---

DFT (PBE-GGA) results for an optimized crystal structure of Re2C.

Cell lengths 2.8284, 9.7997, 5.0693 Å; angles 90.00, 90.00, 90.00 degrees
Last column: nearest neighbours and their distance in Å.
Space group Cmc2_1 (No. 36)
One atom of each set of equivalent atoms:
Re1 0.0000 0.0369 0.0000  4 C 2.16-2.33
Re2 0.0000 0.2914 0.8346  3 C 2.14-2.31
C1 0.0000 0.3848 0.2170  7 Re 2.14-2.33

Properties
Its calculated volume is 141 Å³/cell. The calculation puts the offset from the most stable computed form at 0.3856 eV per atom.

---

DFT (PBE-GGA) results for an optimized crystal structure of ReC5.

Cell lengths 3.4759, 3.4759, 7.7589 Å; angles 90.00, 90.00, 120.00 degrees
Last column: nearest neighbours and their distance in Å.
Space group P6/mmm (No. 191)
One atom of each set of equivalent atoms:
Re1 0.0000 0.0000 0.0000  6 C 2.01
C1 0.0000 0.5000 0.5000  4 C 1.74
C2 0.3333 0.6667 0.0000  3 Re 2.01, 3 C 2.01

Properties
Its calculated volume is 81 Å³/cell. The calculation puts the offset from the most stable computed form at 2.1259 eV per atom.

---

Looking at Fermi-level density of states for the records above, in order, we have 2.2; 2.4; 0.0; 4.2; 4.6; 0.0; 0.0; 31.6; 2.8; 4.4; 2.0; 1.7; 11.7; 3.6; 1.5; 1.4; 1.6; 1.4; 1.6; 4.2 states/eV/f.u..
Looking at formation enthalpy at 0 K for the records above, in order, we have 0.596; 0.532; 0.596; 0.530; 0.353; 0.377; 1.204; 2.288; 0.561; 0.023; 2.663; 1.784; 1.855; 1.209; 1.896; 0.393; 0.206; 2.960; 0.352; 2.935 eV/atom.